[1]
{"formula": "BC", "functional": "PBE", "state": "relaxed", "formation_enthalpy_0k_ev_per_atom": 0.430, "de_polymorph_mev_per_atom": 280, "sg": "P2", "cell": [[5.820, -0.144, 0.000], [-4.739, 3.664, 0.000], [0.000, 0.000, 3.967]], "species": ["B", "B", "B", "B", "B", "B", "C", "C", "C", "C", "C", "C"], "fractional_positions": [[0.147, 0.825, 0.525], [0.519, 0.508, 0.525], [0.136, 0.290, 0.235], [0.333, 0.667, 0.937], [0.833, 0.167, 0.554], [0.531, 0.043, 0.235], [0.833, 0.667, 0.222], [0.982, 0.501, 0.762], [0.665, 0.342, 0.990], [0.333, 0.167, 0.763], [0.001, 0.991, 0.990], [0.685, 0.832, 0.762]]}

---

[2]
{"formula": "B7C5", "functional": "PBE", "state": "relaxed", "formation_enthalpy_0k_ev_per_atom": 0.483, "de_polymorph_mev_per_atom": 318, "sg": "Cm", "cell": [[4.296, 0.122, -2.165], [3.511, 2.480, -2.165], [-0.147, -0.049, 8.310]], "species": ["B", "B", "B", "B", "B", "B", "B", "C", "C", "C", "C", "C"], "fractional_positions": [[0.670, 0.670, 0.358], [0.493, 0.493, 0.375], [0.196, 0.196, 0.220], [0.957, 0.957, 0.981], [0.676, 0.676, 0.826], [0.526, 0.526, 0.888], [0.300, 0.300, 0.624], [0.331, 0.331, 0.157], [0.840, 0.840, 0.063], [0.164, 0.164, 0.686], [0.994, 0.994, 0.520], [0.852, 0.852, 0.552]]}

---

[3]
{"formula": "B7C5", "functional": "PBE", "state": "relaxed", "formation_enthalpy_0k_ev_per_atom": 0.373, "de_polymorph_mev_per_atom": 209, "sg": "Cm", "cell": [[3.490, -0.076, -5.240], [-1.224, 2.594, -7.029], [1.055, -0.059, 7.517]], "species": ["B", "B", "B", "B", "B", "B", "B", "C", "C", "C", "C", "C"], "fractional_positions": [[0.964, 0.308, 0.656], [0.677, 0.330, 0.347], [0.534, 0.179, 0.354], [0.984, 0.992, 0.992], [0.503, 0.948, 0.556], [0.168, 0.787, 0.381], [0.665, 0.620, 0.044], [0.138, 0.128, 0.010], [0.567, 0.858, 0.708], [0.039, 0.659, 0.379], [0.429, 0.490, 0.939], [0.084, 0.451, 0.633]]}

---

[4]
{"formula": "B7C5", "functional": "PBE", "state": "relaxed", "formation_enthalpy_0k_ev_per_atom": 0.362, "de_polymorph_mev_per_atom": 198, "sg": "Cm", "cell": [[-2.380, -3.128, 2.774], [-1.147, -4.591, 0.868], [7.052, 1.500, 3.412]], "species": ["B", "B", "B", "B", "B", "B", "B", "C", "C", "C", "C", "C"], "fractional_positions": [[0.679, 0.679, 0.362], [0.490, 0.490, 0.372], [0.178, 0.178, 0.195], [0.899, 0.899, 0.120], [0.616, 0.616, 0.759], [0.550, 0.550, 0.944], [0.271, 0.271, 0.590], [0.351, 0.351, 0.185], [0.023, 0.023, 0.021], [0.130, 0.130, 0.668], [0.983, 0.983, 0.498], [0.829, 0.829, 0.535]]}